[1]
Density functional theory data (PBE-GGA) for a geometry-optimized CuSeSF2 structure.

a b c (Å): 3.7475 3.7475 5.8924
angles (deg): 90.00 90.00 90.00
Closest atoms and distances in Å follow each position.
Atoms (fractional coordinates):
Cu1 0.0000 0.0000 0.0000  4 Se 2.65, 2 S 2.95
Se1 0.5000 0.5000 0.0000  4 Cu 2.65
S1 0.0000 0.0000 0.5000  4 F 1.87
F1 0.0000 0.5000 0.5000  2 S 1.87
F2 0.5000 0.0000 0.5000  2 S 1.87

***

[2]
Density functional theory data (PBE-GGA) for a geometry-optimized SrCuSF structure.

a b c (Å): 3.9660 3.9660 8.7044
angles (deg): 90.00 90.00 90.00
Closest atoms and distances in Å follow each position.
Atoms (fractional coordinates):
Sr1 0.2500 0.2500 0.1705  4 F 2.48
Sr2 0.7500 0.7500 0.8295  4 F 2.48
Cu1 0.2500 0.7500 0.5000  4 S 2.43
Cu2 0.7500 0.2500 0.5000  4 S 2.43
S1 0.2500 0.2500 0.6604  4 Cu 2.43
S2 0.7500 0.7500 0.3396  4 Cu 2.43
F1 0.2500 0.7500 0.0000  4 Sr 2.48
F2 0.7500 0.2500 0.0000  4 Sr 2.48

***

[3]
Density functional theory data (PBE-GGA) for a geometry-optimized Tl2CuSF structure.

a b c (Å): 5.6229 5.6229 4.1712
angles (deg): 90.00 90.00 90.00
Closest atoms and distances in Å follow each position.
Atoms (fractional coordinates):
Tl1 0.0000 0.5000 0.0000  2 Cu 2.81
Tl2 0.5000 0.0000 0.0000  2 Cu 2.81
Cu1 0.0000 0.0000 0.0000  2 S 2.09
S1 0.0000 0.0000 0.5000  2 Cu 2.09
F1 0.5000 0.5000 0.5000  8 Tl 3.50

***

Quick rundown of Fermi-level density of states, same order as above: 2.97; 0.00; 0.00 states/eV/f.u.
Quick rundown of formation energy without anion corrections, same order as above: -0.24; -2.08; -0.53 eV per atom